1.
Density functional theory data (PBE) for a relaxed structure of RbNa4O2.

Total energy: -22.074 eV/f.u.
Volume: 25.88 Å³/atom
Formation energy (no corrections): -0.84 eV/atom

Cell: 3.4559 10.2392 10.2392 Å, 90.00 90.00 90.00°
Last column: nearest neighbours and their distance in Å.
Positions (direct):
O1 0.5000 0.6680 0.6680  4 Na 2.27
Na1 0.0000 0.6133 0.8014  2 O 2.27
Rb1 0.0000 0.5000 0.5000  4 O 2.98, 4 Na 3.30
Na2 0.5000 0.3014 0.8867  2 O 2.27
Na3 0.5000 0.1133 0.6986  2 O 2.27
O2 0.5000 0.3320 0.3320  4 Na 2.27
Na4 0.0000 0.8014 0.6133  2 O 2.27
Na5 0.5000 0.8867 0.3014  2 O 2.27
Rb2 0.5000 0.0000 0.0000  4 O 2.98, 4 Na 3.30
O3 0.0000 0.8320 0.1680  4 Na 2.27
Na6 0.0000 0.3867 0.1986  2 O 2.27
O4 0.0000 0.1680 0.8320  4 Na 2.27
Na7 0.0000 0.1986 0.3867  2 O 2.27
Na8 0.5000 0.6986 0.1133  2 O 2.27



2.
Density functional theory data (PBE) for a relaxed structure of LiCa2Cl5.

Total energy: -32.871 eV/f.u.
Volume: 29.23 Å³/atom
Formation energy (no corrections): -2.22 eV/atom

Cell: 5.3893 7.1307 13.1450 Å, 90.00 90.00 112.20°
Last column: nearest neighbours and their distance in Å.
Positions (direct):
Ca1 0.8563 0.7125 0.4347  6 Cl 2.69-2.85
Cl1 0.0521 0.1042 0.3792  1 Li 2.45, 2 Ca 2.69-2.73
Li1 0.8146 0.6292 0.7500  2 Cl 2.45
Cl2 0.6861 0.3722 0.9320  3 Ca 2.75-2.85, 1 Li 2.93
Cl3 0.3139 0.6278 0.0680  3 Ca 2.75-2.85, 1 Li 2.93
Li2 0.1854 0.3708 0.2500  2 Cl 2.45
Cl4 0.9479 0.8958 0.8792  1 Li 2.45, 2 Ca 2.69-2.73
Cl5 0.6861 0.3722 0.5680  3 Ca 2.75-2.85, 1 Li 2.93
Ca2 0.1437 0.2875 0.9347  6 Cl 2.69-2.85
Cl6 0.0521 0.1042 0.1208  1 Li 2.45, 2 Ca 2.69-2.73
Cl7 0.2447 0.4894 0.7500  2 Ca 2.77, 2 Li 2.85
Cl8 0.9479 0.8958 0.6208  1 Li 2.45, 2 Ca 2.69-2.73
Ca3 0.8563 0.7125 0.0653  6 Cl 2.69-2.85
Cl9 0.3139 0.6278 0.4320  3 Ca 2.75-2.85, 1 Li 2.93
Cl10 0.7553 0.5106 0.2500  2 Ca 2.77, 2 Li 2.85
Ca4 0.1437 0.2875 0.5653  6 Cl 2.69-2.85



3.
Density functional theory data (PBE) for a relaxed structure of Hf2MoRu2.

Total energy: -48.212 eV/f.u.
Volume: 18.66 Å³/atom

Cell: 3.4509 3.4509 8.2066 Å, 77.86 77.86 90.00°
Last column: nearest neighbours and their distance in Å.
Positions (direct):
Mo1 0.0000 0.0000 0.0000  8 Hf 2.90
Hf1 0.5997 0.5997 0.8006  4 Mo 2.90, 4 Ru 2.92, 1 Hf 3.13
Hf2 0.4003 0.4003 0.1994  4 Mo 2.90, 4 Ru 2.92, 1 Hf 3.13
Ru1 0.7500 0.2500 0.5000  4 Ru 2.44
Ru2 0.2500 0.7500 0.5000  4 Ru 2.44